Material: Sr2YAu2
Method: DFT, SCAN
State: PBEsol geometry

Cell and atoms, written as POSCAR:
```
Sr2YAu2
1.0
-2.7562 -3.5062 -1.2776
5.4988 -5.1311 2.2188
-3.0900 -0.1961 7.2043
Sr Au Y
4 4 2
direct
0.5000 0.3339 0.1661 Sr
0.5000 0.1661 0.6661 Sr
0.5000 0.8339 0.3339 Sr
0.5000 0.6661 0.8339 Sr
0.0000 0.1351 0.3649 Au
0.0000 0.8649 0.6351 Au
0.0000 0.6351 0.1351 Au
0.0000 0.3649 0.8649 Au
0.0000 0.5000 0.5000 Y
0.0000 0.0000 0.0000 Y
```

Properties
Space-group type: P4/mbm
ΔE_f: -0.774 eV/atom

=====

Material: Mg17As6O32
Method: DFT, SCAN
State: PBEsol geometry

Cell and atoms, written as POSCAR:
```
Mg17As6O32
1.0
6.0704 0.0000 0.0000
0.0000 9.8635 -0.0134
0.0000 -3.7070 9.7634
O Mg As
32 17 6
direct
0.2687 0.3681 0.3684 O
0.7084 0.1200 0.6145 O
0.2175 0.1166 0.1097 O
0.5000 0.8842 0.6096 O
0.7313 0.3681 0.3684 O
0.7681 0.6322 0.1324 O
0.0000 0.6117 0.8723 O
0.5000 0.6325 0.8639 O
0.0000 0.8580 0.6322 O
0.5000 0.3866 0.6277 O
0.0000 0.8840 0.1081 O
0.5000 0.1333 0.8796 O
0.0000 0.1420 0.3678 O
0.2175 0.8834 0.8903 O
0.5000 0.6134 0.3723 O
0.2916 0.8800 0.3855 O
0.2687 0.6319 0.6316 O
0.5000 0.3675 0.1361 O
0.5000 0.1158 0.3904 O
0.0000 0.3699 0.6348 O
0.7681 0.3678 0.8676 O
0.2916 0.1200 0.6145 O
0.7825 0.8834 0.8903 O
0.0000 0.1160 0.8919 O
0.0000 0.3883 0.1277 O
0.0000 0.6301 0.3652 O
0.2319 0.3678 0.8676 O
0.7825 0.1166 0.1097 O
0.7084 0.8800 0.3855 O
0.2319 0.6322 0.1324 O
0.7313 0.6319 0.6316 O
0.5000 0.8667 0.1204 O
0.7467 0.2655 0.0051 Mg
0.0000 0.2704 0.2580 Mg
0.2405 0.9987 0.2604 Mg
0.7467 0.7345 0.9949 Mg
0.5000 0.7354 0.2464 Mg
0.5000 0.0000 0.0000 Mg
0.7595 0.9987 0.2604 Mg
0.0000 0.7296 0.7420 Mg
0.7595 0.0013 0.7396 Mg
0.7589 0.7450 0.4959 Mg
0.2411 0.2550 0.5041 Mg
0.5000 0.2646 0.7536 Mg
0.7589 0.2550 0.5041 Mg
0.2405 0.0013 0.7396 Mg
0.2411 0.7450 0.4959 Mg
0.2533 0.2655 0.0051 Mg
0.2533 0.7345 0.9949 Mg
0.0000 0.5782 0.1924 As
0.5000 0.4248 0.3115 As
0.0000 0.0000 0.0000 As
0.0000 0.4218 0.8076 As
0.5000 0.0000 0.5000 As
0.5000 0.5752 0.6885 As
```

Properties
Space-group type: P2/m
Formation energy without anion corrections: -2.48 eV per atom

=====

Material: K2SrLa
Method: DFT, SCAN
State: PBEsol geometry

Cell and atoms, written as POSCAR:
```
K2SrLa
1.0
3.8317 0.0196 0.0000
-0.5118 7.2028 0.0000
0.0000 0.0000 7.2718
Sr K La
1 2 1
direct
0.5000 0.0000 0.5000 Sr
0.2629 0.2554 0.0000 K
0.7371 0.7446 0.0000 K
0.0000 0.5000 0.5000 La
```

Properties
Space-group type: P2/m
Offset from the most stable computed form: 117 meV per atom
ΔE_f: 0.313 eV/atom

=====

Material: Y2GeBO
Method: DFT, SCAN
State: PBEsol geometry

Cell and atoms, written as POSCAR:
```
Y2GeBO
1.0
3.6563 0.0000 0.0000
0.0000 5.2268 0.0000
0.0000 0.0000 5.2268
O B Y Ge
1 1 2 1
direct
0.5000 0.5000 0.5000 O
0.5000 0.0000 0.0000 B
0.0000 0.0000 0.5000 Y
0.0000 0.5000 0.0000 Y
0.0000 0.0000 0.0000 Ge
```

Properties
Space-group type: P4/mmm
Formation energy without anion corrections: 0.01 eV per atom

=====

Material: Li2CdP
Method: DFT, SCAN
State: PBEsol geometry

Cell and atoms, written as POSCAR:
```
Li2CdP
1.0
3.1584 0.0000 0.0000
0.0000 4.3719 0.0000
0.0000 0.0000 4.3719
Cd Li P
1 2 1
direct
0.5000 0.0000 0.0000 Cd
0.0000 0.0000 0.5000 Li
0.0000 0.5000 0.0000 Li
0.5000 0.5000 0.5000 P
```

Properties
Space-group type: P4/mmm
ΔE_f: -0.320 eV/atom

=====

Material: LiIn2Hg
Method: DFT, SCAN
State: PBEsol geometry

Cell and atoms, written as POSCAR:
```
LiIn2Hg
1.0
3.4019 0.0000 0.0000
-1.7010 4.7021 0.0037
0.0000 -1.0181 5.4848
Li Hg In
1 1 2
direct
0.5042 0.0083 0.5173 Li
0.2440 0.4879 0.7217 Hg
0.7536 0.5073 0.2677 In
0.9982 0.9965 0.9934 In
```

Properties
Space-group type: Cm
ΔE_f: -0.200 eV/atom

=====

Material: NbCoO4
Method: DFT, SCAN
State: PBEsol geometry

Cell and atoms, written as POSCAR:
```
NbCoO4
1.0
3.7850 0.0000 0.0000
-1.8925 6.0788 0.0061
0.0000 -1.9892 6.1400
O Nb Co
8 2 2
direct
0.2623 0.5247 0.1352 O
0.8570 0.7139 0.4682 O
0.9417 0.8835 0.1357 O
0.6452 0.2903 0.1995 O
0.7377 0.4753 0.8648 O
0.0583 0.1165 0.8643 O
0.3548 0.7097 0.8005 O
0.1430 0.2861 0.5318 O
0.1046 0.2093 0.2377 Nb
0.8954 0.7907 0.7623 Nb
0.2030 0.4061 0.8277 Co
0.7970 0.5939 0.1723 Co
```

Properties
Space-group type: C2/m
Formation energy without anion corrections: -2.17 eV per atom

=====

Material: LuRh3C
Method: DFT, SCAN
State: PBEsol geometry

Cell and atoms, written as POSCAR:
```
LuRh3C
1.0
-3.1602 -1.3072 2.2382
0.7549 -3.8405 -1.1772
2.4796 -0.4968 3.2109
C Lu Rh
1 1 3
direct
0.5000 0.5000 0.5000 C
0.0000 0.0000 0.0000 Lu
0.5000 0.5000 0.0000 Rh
0.5000 0.0000 0.5000 Rh
0.0000 0.5000 0.5000 Rh
```

Properties
Space-group type: Pm-3m
ΔE_f: -0.635 eV/atom

=====

no.,size of the total moment (μB per formula unit)
1,0.0
2,0.0
3,0.3
4,0.0
5,0.0
6,0.0
7,0.0
8,0.0